{"formula": "Na3In4Bi4", "functional": "PBE-GGA", "state": "relaxed", "cell": [[4.583, 0.000, -1.140], [-1.205, 8.576, -4.843], [-0.070, -0.385, 9.500]], "species": ["Bi", "Bi", "Bi", "Bi", "In", "In", "In", "In", "Na", "Na", "Na"], "frac_coords": [[0.500, 0.161, 0.000], [0.216, 0.716, 0.432], [0.784, 0.284, 0.568], [0.500, 0.839, 0.000], [0.679, 0.468, 0.358], [0.679, 0.891, 0.358], [0.321, 0.532, 0.642], [0.321, 0.109, 0.642], [0.121, 0.121, 0.241], [0.000, 0.500, 0.000], [0.879, 0.879, 0.759]], "dos_ef_per_ev_cell": 3.444, "mass_density_g_cm3": 6.2, "total_energy_ev_per_cell": -31.775, "relative_energy_mev_per_atom": 0}

***

{"formula": "Na2In3Bi2", "functional": "PBE-GGA", "state": "relaxed", "cell": [[-0.845, -2.751, 1.850], [-0.879, -2.510, -4.134], [11.845, -2.389, 1.855]], "species": ["Bi", "Bi", "In", "In", "In", "Na", "Na"], "frac_coords": [[0.500, 0.705, 0.410], [0.500, 0.295, 0.590], [0.000, 0.000, 0.000], [0.500, 0.433, 0.866], [0.500, 0.567, 0.134], [0.000, 0.859, 0.718], [0.000, 0.141, 0.282]], "dos_ef_per_ev_cell": 3.049, "mass_density_g_cm3": 6.7, "total_energy_ev_per_cell": -19.391, "relative_energy_mev_per_atom": 30}

***

{"formula": "Na3In2Bi3", "functional": "PBE-GGA", "state": "relaxed", "cell": [[4.640, 0.000, 0.000], [0.000, 8.217, -0.015], [0.000, 0.053, 27.477]], "species": ["Bi", "Bi", "Bi", "Bi", "Bi", "Bi", "Bi", "Bi", "Bi", "Bi", "Bi", "Bi", "Na", "Na", "Na", "Na", "Na", "Na", "Na", "Na", "Na", "Na", "Na", "Na", "In", "In", "In", "In", "In", "In", "In", "In"], "frac_coords": [[0.000, 0.760, 0.204], [0.000, 0.257, 0.303], [0.000, 0.763, 0.862], [0.500, 0.223, 0.468], [0.000, 0.267, 0.958], [0.500, 0.236, 0.129], [0.500, 0.738, 0.033], [0.000, 0.782, 0.539], [0.500, 0.731, 0.707], [0.000, 0.285, 0.634], [0.500, 0.230, 0.790], [0.500, 0.732, 0.374], [0.000, 0.005, 0.410], [0.500, 0.478, 0.224], [0.000, 0.015, 0.726], [0.500, 0.959, 0.928], [0.500, 0.951, 0.271], [0.500, 0.485, 0.564], [0.000, 0.535, 0.108], [0.500, 0.977, 0.613], [0.000, 0.027, 0.062], [0.000, 0.510, 0.764], [0.000, 0.526, 0.450], [0.500, 0.481, 0.881], [0.000, 0.146, 0.535], [0.500, 0.359, 0.366], [0.000, 0.127, 0.849], [0.000, 0.126, 0.192], [0.500, 0.361, 0.023], [0.000, 0.657, 0.642], [0.000, 0.658, 0.965], [0.000, 0.649, 0.307]], "dos_ef_per_ev_cell": 13.282, "mass_density_g_cm3": 5.9, "total_energy_ev_per_cell": -90.153, "relative_energy_mev_per_atom": 32}

***

{"formula": "NaIn2Bi", "functional": "PBE-GGA", "state": "relaxed", "cell": [[4.023, 0.000, 0.000], [0.000, 4.023, 0.000], [0.000, 0.000, 7.327]], "species": ["In", "In", "Na", "Bi"], "frac_coords": [[0.000, 0.000, 0.268], [0.000, 0.000, 0.732], [0.500, 0.500, 0.000], [0.500, 0.500, 0.500]], "dos_ef_per_ev_cell": 1.795, "mass_density_g_cm3": 6.5, "total_energy_ev_per_cell": -10.954}

***

{"formula": "Na12InBi7", "functional": "PBE-GGA", "state": "relaxed", "cell": [[8.767, 0.728, 1.093], [-1.738, 8.624, 1.093], [-1.738, -2.313, 8.380]], "species": ["Na", "Na", "Na", "Na", "Na", "Na", "Na", "Na", "Na", "Na", "Na", "Na", "Bi", "Bi", "Bi", "Bi", "Bi", "Bi", "Bi", "In"], "frac_coords": [[0.836, 0.738, 0.223], [0.411, 0.446, 0.157], [0.843, 0.589, 0.554], [0.223, 0.836, 0.738], [0.554, 0.843, 0.589], [0.589, 0.554, 0.843], [0.262, 0.777, 0.164], [0.446, 0.157, 0.411], [0.164, 0.262, 0.777], [0.777, 0.164, 0.262], [0.157, 0.411, 0.446], [0.738, 0.223, 0.836], [0.026, 0.375, 0.108], [0.108, 0.026, 0.375], [0.892, 0.974, 0.625], [0.500, 0.500, 0.500], [0.974, 0.625, 0.892], [0.375, 0.108, 0.026], [0.625, 0.892, 0.974], [0.000, 0.000, 0.000]], "dos_ef_per_ev_cell": 9.401, "mass_density_g_cm3": 4.5, "total_energy_ev_per_cell": -49.376}

***

{"formula": "Na4InBi", "functional": "PBE-GGA", "state": "relaxed", "cell": [[5.296, -0.002, 0.001], [0.002, 6.582, 2.386], [-0.001, 0.148, 9.864]], "species": ["Na", "Na", "Na", "Na", "Na", "Na", "Na", "Na", "Bi", "Bi", "In", "In"], "frac_coords": [[0.250, 0.788, 0.416], [0.250, 0.296, 0.416], [0.250, 0.459, 0.085], [0.250, 0.956, 0.085], [0.750, 0.212, 0.584], [0.750, 0.044, 0.915], [0.750, 0.541, 0.915], [0.750, 0.704, 0.584], [0.750, 0.628, 0.243], [0.250, 0.372, 0.757], [0.750, 0.120, 0.261], [0.250, 0.880, 0.739]], "dos_ef_per_ev_cell": 3.888, "mass_density_g_cm3": 4.0, "total_energy_ev_per_cell": -25.968}

***

{"formula": "Na2InBi", "functional": "PBE-GGA", "state": "relaxed", "cell": [[-2.601, -1.184, -2.110], [-1.339, -3.254, 0.486], [-8.582, 2.515, 6.178]], "species": ["Na", "Na", "Bi", "In"], "frac_coords": [[0.752, 0.752, 0.745], [0.248, 0.248, 0.255], [0.500, 0.500, 0.500], [0.000, 0.000, 0.000]], "dos_ef_per_ev_cell": 0.874, "mass_density_g_cm3": 5.3, "total_energy_ev_per_cell": -9.809}

***

{"formula": "Na3In2Bi3", "functional": "PBE-GGA", "state": "relaxed", "cell": [[-1.831, -0.755, -4.426], [7.049, -1.361, -0.028], [-2.899, -15.087, 3.773]], "species": ["Bi", "Bi", "Bi", "Bi", "Bi", "Bi", "In", "In", "In", "In", "Na", "Na", "Na", "Na", "Na", "Na"], "frac_coords": [[0.616, 0.233, 0.061], [0.616, 0.233, 0.439], [0.388, 0.775, 0.250], [0.612, 0.225, 0.750], [0.384, 0.767, 0.939], [0.384, 0.767, 0.561], [0.749, 0.498, 0.595], [0.749, 0.498, 0.905], [0.251, 0.502, 0.095], [0.251, 0.502, 0.405], [0.715, 0.430, 0.250], [0.051, 0.102, 0.883], [0.949, 0.898, 0.117], [0.949, 0.898, 0.383], [0.285, 0.570, 0.750], [0.051, 0.102, 0.617]], "dos_ef_per_ev_cell": 4.008, "mass_density_g_cm3": 5.9, "total_energy_ev_per_cell": -45.583, "relative_energy_mev_per_atom": 0}

***

{"formula": "Na8InBi6", "functional": "PBE-GGA", "state": "relaxed", "cell": [[9.819, 0.000, 0.000], [4.910, 8.504, 0.000], [4.910, 2.835, 6.121]], "species": ["Bi", "Bi", "Bi", "Bi", "Bi", "Bi", "Na", "Na", "Na", "Na", "Na", "Na", "Na", "Na", "In"], "frac_coords": [[0.379, 0.996, 0.922], [0.297, 0.621, 0.078], [0.996, 0.703, 0.922], [0.004, 0.297, 0.078], [0.703, 0.379, 0.922], [0.621, 0.004, 0.078], [0.383, 0.383, 0.850], [0.339, 0.897, 0.581], [0.897, 0.184, 0.581], [0.816, 0.661, 0.419], [0.617, 0.617, 0.150], [0.184, 0.339, 0.581], [0.103, 0.816, 0.419], [0.661, 0.103, 0.419], [0.000, 0.000, 0.000]], "dos_ef_per_ev_cell": 8.438, "mass_density_g_cm3": 5.0, "total_energy_ev_per_cell": -38.871}

***

{"formula": "Na2In4Bi5", "functional": "PBE-GGA", "state": "relaxed", "cell": [[6.611, 0.286, 0.827], [2.561, 6.102, 0.827], [-0.995, -0.693, 8.373]], "species": ["Bi", "Bi", "Bi", "Bi", "Bi", "Na", "Na", "In", "In", "In", "In"], "frac_coords": [[0.864, 0.364, 0.206], [0.636, 0.136, 0.794], [0.364, 0.864, 0.206], [0.000, 0.000, 0.500], [0.136, 0.636, 0.794], [0.137, 0.137, 0.859], [0.863, 0.863, 0.141], [0.293, 0.293, 0.494], [0.707, 0.707, 0.506], [0.371, 0.371, 0.140], [0.629, 0.629, 0.860]], "dos_ef_per_ev_cell": 4.771, "mass_density_g_cm3": 7.6, "total_energy_ev_per_cell": -33.662}